VASP calculation (SCAN) on Y2PbSe at its PBEsol-relaxed geometry.

Cell: 4.166 4.166 7.412 Å, 73.68 73.68 60.00°
Fractional positions:
Pb  0.000  0.000  0.000
Y  0.245  0.245  0.265
Se  0.500  0.500  0.500
Y  0.755  0.755  0.735

For the volume, the calculation gives 26.34 A^3/atom. The energy above the most stable polymorph in this dataset is 29 meV per atom. The formation energy without anion corrections comes out at -5.70 eV per formula unit.

VASP calculation (SCAN) on Y2PbSe at its PBEsol-relaxed geometry.

Cell: 3.569 5.376 5.376 Å, 92.05 97.74 97.74°
Fractional positions:
Y  0.000  0.500  0.000
Se  0.500  0.500  0.500
Pb  0.500  0.000  0.000
Y  0.000  0.000  0.500

For the volume, the calculation gives 25.28 A^3/atom. The energy above the most stable polymorph in this dataset is 345 meV per atom. The formation energy without anion corrections comes out at -4.44 eV per formula unit.